(1)
# CaPd2Au2 (SCAN, PBEsol geometry)
# - Crystal system: tetragonal
# - Offset from the most stable computed form: 0 kJ/mol of formula units
# - ρ: 11173 kg/m³
# - Formation energy from the elements: -515 meV per atom
data_CaPd2Au2
_cell_length_a 3.8848
_cell_length_b 3.8848
_cell_length_c 12.7402
_cell_angle_alpha 90.00
_cell_angle_beta 90.00
_cell_angle_gamma 90.00
_symmetry_space_group_name_H-M 'P 1'
_symmetry_Int_Tables_number 1
loop_
_symmetry_equiv_pos_as_xyz
'x,y,z'
loop_
_atom_site_label
_atom_site_type_symbol
_atom_site_fract_x
_atom_site_fract_y
_atom_site_fract_z
_atom_site_occupancy
Ca1 Ca 0.0000 0.0000 0.0000 1
Ca2 Ca 0.5000 0.5000 0.5000 1
Pd1 Pd 0.0000 0.5000 0.2500 1
Pd2 Pd 0.0000 0.5000 0.7500 1
Pd3 Pd 0.5000 0.0000 0.2500 1
Pd4 Pd 0.5000 0.0000 0.7500 1
Au1 Au 0.0000 0.0000 0.3975 1
Au2 Au 0.0000 0.0000 0.6025 1
Au3 Au 0.5000 0.5000 0.1025 1
Au4 Au 0.5000 0.5000 0.8975 1

(2)
# Ca2Pt2Au (SCAN, PBEsol geometry)
# - Crystal system: tetragonal
# - ρ: 10753 kg/m³
# - Formation energy from the elements: -901 meV per atom
data_Ca2Pt2Au
_cell_length_a 7.0961
_cell_length_b 7.0961
_cell_length_c 4.0929
_cell_angle_alpha 90.00
_cell_angle_beta 90.00
_cell_angle_gamma 90.00
_symmetry_space_group_name_H-M 'P 1'
_symmetry_Int_Tables_number 1
loop_
_symmetry_equiv_pos_as_xyz
'x,y,z'
loop_
_atom_site_label
_atom_site_type_symbol
_atom_site_fract_x
_atom_site_fract_y
_atom_site_fract_z
_atom_site_occupancy
Ca1 Ca 0.1725 0.3275 0.0000 1
Ca2 Ca 0.3275 0.8275 0.0000 1
Ca3 Ca 0.6725 0.1725 0.0000 1
Ca4 Ca 0.8275 0.6725 0.0000 1
Pt1 Pt 0.1325 0.6325 0.5000 1
Pt2 Pt 0.3675 0.1325 0.5000 1
Pt3 Pt 0.6325 0.8675 0.5000 1
Pt4 Pt 0.8675 0.3675 0.5000 1
Au1 Au 0.0000 0.0000 0.5000 1
Au2 Au 0.5000 0.5000 0.5000 1

(3)
# CaPt4Au (SCAN, PBEsol geometry)
# - Crystal system: cubic
# - ρ: 16253 kg/m³
# - Formation energy from the elements: -546 meV per atom
data_CaPt4Au
_cell_length_a 5.2776
_cell_length_b 5.2776
_cell_length_c 5.2776
_cell_angle_alpha 60.00
_cell_angle_beta 60.00
_cell_angle_gamma 60.00
_symmetry_space_group_name_H-M 'P 1'
_symmetry_Int_Tables_number 1
loop_
_symmetry_equiv_pos_as_xyz
'x,y,z'
loop_
_atom_site_label
_atom_site_type_symbol
_atom_site_fract_x
_atom_site_fract_y
_atom_site_fract_z
_atom_site_occupancy
Ca1 Ca 0.0000 0.0000 0.0000 1
Pt1 Pt 0.3752 0.3752 0.3752 1
Pt2 Pt 0.3752 0.3752 0.8743 1
Pt3 Pt 0.3752 0.8743 0.3752 1
Pt4 Pt 0.8743 0.3752 0.3752 1
Au1 Au 0.7500 0.7500 0.7500 1

(4)
# CaPtAu (SCAN, PBEsol geometry)
# - Crystal system: cubic
# - Offset from the most stable computed form: 175 kJ/mol of formula units
# - ρ: 10707 kg/m³
# - Formation energy from the elements: -163 meV per atom
data_CaPtAu
_cell_length_a 6.4478
_cell_length_b 6.4478
_cell_length_c 6.4478
_cell_angle_alpha 90.00
_cell_angle_beta 90.00
_cell_angle_gamma 90.00
_symmetry_space_group_name_H-M 'P 1'
_symmetry_Int_Tables_number 1
loop_
_symmetry_equiv_pos_as_xyz
'x,y,z'
loop_
_atom_site_label
_atom_site_type_symbol
_atom_site_fract_x
_atom_site_fract_y
_atom_site_fract_z
_atom_site_occupancy
Ca1 Ca 0.0000 0.0000 0.0000 1
Ca2 Ca 0.0000 0.5000 0.5000 1
Ca3 Ca 0.5000 0.0000 0.5000 1
Ca4 Ca 0.5000 0.5000 0.0000 1
Pt1 Pt 0.2500 0.2500 0.7500 1
Pt2 Pt 0.2500 0.7500 0.2500 1
Pt3 Pt 0.7500 0.2500 0.2500 1
Pt4 Pt 0.7500 0.7500 0.7500 1
Au1 Au 0.2500 0.2500 0.2500 1
Au2 Au 0.2500 0.7500 0.7500 1
Au3 Au 0.7500 0.2500 0.7500 1
Au4 Au 0.7500 0.7500 0.2500 1